Here is crystalline CoAuCl2 at its relaxed geometry from the Alexandria database. Energies are from PBE-GGA.

Unit cell a=10.375 b=10.375 c=10.375 alpha=17.67 beta=17.67 gamma=17.67
Each line ends with the local moment (μB).
Sites, in units of the cell vectors:
Co (0.750, 0.750, 0.750)  2.46
Au (0.250, 0.250, 0.250)  0.01
Cl (0.034, 0.034, 0.034)  0.22
Cl (0.466, 0.466, 0.466)  0.22

Spin magnetization   3.04 Bohr magnetons per cell
ρ   6.0 g/cm3
Symmetry   R-3m (166)
ΔE to the lowest computed polymorph   0.0 meV/atom

---

Here is crystalline CoAuCl2 at its relaxed geometry from the Alexandria database. Energies are from PBE-GGA.

Unit cell a=4.690 b=4.690 c=3.314 alpha=90.00 beta=90.00 gamma=89.78
Each line ends with the local moment (μB).
Sites, in units of the cell vectors:
Co (0.500, 0.000, 0.500)  2.05
Au (0.000, 0.500, 0.500)  -0.02
Cl (0.000, 0.000, 0.000)  0.05
Cl (0.500, 0.500, 0.000)  0.05

Spin magnetization   2.13 Bohr magnetons per cell
ρ   7.4 g/cm3
Symmetry   Cmmm (65)
ΔE to the lowest computed polymorph   572.0 meV/atom

---

Here is crystalline CoAuCl2 at its relaxed geometry from the Alexandria database. Energies are from PBE-GGA.

Unit cell a=3.500 b=3.500 c=8.303 alpha=90.00 beta=90.00 gamma=119.01
Each line ends with the local moment (μB).
Sites, in units of the cell vectors:
Co (0.000, 0.000, 0.505)  1.85
Au (0.500, 0.500, 0.722)  -0.03
Cl (0.000, 0.000, 0.931)  -0.06
Cl (0.500, 0.500, 0.342)  0.07

Spin magnetization   1.86 Bohr magnetons per cell
ρ   6.1 g/cm3
Symmetry   Cmm2 (35)
ΔE to the lowest computed polymorph   114.9 meV/atom

---

Here is crystalline CoAuCl2 at its relaxed geometry from the Alexandria database. Energies are from PBE-GGA.

Unit cell a=6.123 b=6.123 c=6.534 alpha=62.06 beta=62.06 gamma=90.00
Each line ends with the local moment (μB).
Sites, in units of the cell vectors:
Co (0.500, 0.500, 0.000)  2.03
Co (0.250, 0.750, 0.500)  2.01
Au (0.000, 0.000, 0.000)  -0.04
Au (0.750, 0.250, 0.500)  -0.04
Cl (0.564, 0.125, 0.250)  0.07
Cl (0.186, 0.625, 0.250)  0.07
Cl (0.375, 0.436, 0.750)  0.07
Cl (0.875, 0.814, 0.750)  0.07

Spin magnetization   4.29 Bohr magnetons per cell
ρ   5.9 g/cm3
Symmetry   I-42d (122)
ΔE to the lowest computed polymorph   218.1 meV/atom

---

Here is crystalline CsCo2AuCl8 at its relaxed geometry from the Alexandria database. Energies are from PBE-GGA.

Unit cell a=6.446 b=6.446 c=10.418 alpha=71.98 beta=71.98 gamma=60.00
Each line ends with the local moment (μB).
Sites, in units of the cell vectors:
Cs (0.500, 0.500, 0.500)  0.00
Co (0.257, 0.257, 0.229)  2.58
Co (0.743, 0.743, 0.771)  2.58
Au (0.000, 0.000, 0.000)  0.35
Cl (0.182, 0.182, 0.454)  0.21
Cl (0.606, 0.278, 0.160)  0.21
Cl (0.818, 0.818, 0.546)  0.21
Cl (0.956, 0.606, 0.160)  0.21
Cl (0.044, 0.394, 0.840)  0.21
Cl (0.278, 0.956, 0.160)  0.21
Cl (0.722, 0.044, 0.840)  0.21
Cl (0.394, 0.722, 0.840)  0.21

Spin magnetization   7.91 Bohr magnetons per cell
Total energy   -3.47 eV per atom
ρ   3.5 g/cm3
Symmetry   R-3 (148)

---

Here is crystalline FeCo2AuCl at its relaxed geometry from the Alexandria database. Energies are from PBE-GGA.

Unit cell a=4.467 b=4.814 c=4.467 alpha=90.00 beta=90.00 gamma=90.00
Each line ends with the local moment (μB).
Sites, in units of the cell vectors:
Co (0.000, 0.000, 0.500)  2.18
Co (0.500, 0.000, 0.000)  1.76
Au (0.000, 0.500, 0.000)  0.06
Fe (0.000, 0.000, 0.000)  2.59
Cl (0.500, 0.500, 0.500)  0.02

Spin magnetization   6.60 Bohr magnetons per cell
ρ   7.0 g/cm3
Symmetry   P4/mmm (123)
ΔE to the lowest computed polymorph   129.3 meV/atom

---

Here is crystalline FeCo2AuCl at its relaxed geometry from the Alexandria database. Energies are from PBE-GGA.

Unit cell a=4.538 b=4.180 c=4.538 alpha=90.00 beta=90.00 gamma=90.00
Each line ends with the local moment (μB).
Sites, in units of the cell vectors:
Co (0.000, 0.000, 0.500)  2.12
Co (0.500, 0.000, 0.000)  1.69
Au (0.500, 0.500, 0.500)  0.02
Fe (0.000, 0.000, 0.000)  2.16
Cl (0.000, 0.500, 0.000)  0.05

Spin magnetization   6.05 Bohr magnetons per cell
ρ   7.8 g/cm3
Symmetry   P4/mmm (123)
ΔE to the lowest computed polymorph   0.0 meV/atom

---

Here is crystalline HfCo2AuCl at its relaxed geometry from the Alexandria database. Energies are from PBE-GGA.

Unit cell a=4.149 b=4.695 c=4.149 alpha=90.00 beta=90.00 gamma=90.00
Each line ends with the local moment (μB).
Sites, in units of the cell vectors:
Hf (0.000, 0.500, 0.000)  -0.09
Cl (0.000, 0.000, 0.000)  0.01
Au (0.500, 0.500, 0.500)  0.01
Co (0.000, 0.000, 0.500)  0.96
Co (0.500, 0.000, 0.000)  0.80

Spin magnetization   1.55 Bohr magnetons per cell
Total energy   -5.52 eV per atom
ρ   10.9 g/cm3
Symmetry   P4/mmm (123)

---

Here is crystalline KCoAuCl6 at its relaxed geometry from the Alexandria database. Energies are from PBE-GGA.

Unit cell a=6.387 b=6.887 c=6.788 alpha=94.04 beta=92.27 gamma=57.43
Each line ends with the local moment (μB).
Sites, in units of the cell vectors:
K (0.034, 0.983, 0.001)  0.00
Co (0.337, 0.331, 0.500)  0.12
Au (0.664, 0.669, 0.500)  0.36
Cl (0.023, 0.372, 0.294)  0.10
Cl (0.344, 0.046, 0.658)  0.09
Cl (0.616, 0.319, 0.715)  0.01
Cl (0.026, 0.604, 0.707)  0.10
Cl (0.343, 0.610, 0.342)  0.09
Cl (0.613, 0.066, 0.283)  0.01

Spin magnetization   0.98 Bohr magnetons per cell
Total energy   -3.21 eV per atom
ρ   3.4 g/cm3
Symmetry   P1 (1)

---

Here is crystalline La5CoAu2Cl at its relaxed geometry from the Alexandria database. Energies are from PBE-GGA.

Unit cell a=4.737 b=9.217 c=11.837 alpha=90.00 beta=90.00 gamma=104.89
Sites, in units of the cell vectors:
La (0.378, 0.755, 0.010)
La (0.695, 0.391, 0.854)
La (0.500, 0.001, 0.761)
La (0.306, 0.611, 0.662)
La (0.957, 0.915, 0.515)
La (0.622, 0.245, 0.510)
La (0.305, 0.609, 0.354)
La (0.500, 0.999, 0.261)
La (0.694, 0.389, 0.162)
La (0.043, 0.085, 0.015)
Co (0.562, 0.124, 0.998)
Co (0.438, 0.876, 0.498)
Au (0.879, 0.758, 0.818)
Au (0.122, 0.245, 0.695)
Au (0.121, 0.242, 0.318)
Au (0.878, 0.755, 0.195)
Cl (0.786, 0.571, 0.509)
Cl (0.214, 0.429, 0.009)

Spin magnetization   0.00 Bohr magnetons per cell
Total energy   -5.19 eV per atom
ρ   7.9 g/cm3
Symmetry   Cmc2_1 (36)

---

Here is crystalline La8Co3AuCl4 at its relaxed geometry from the Alexandria database. Energies are from PBE-GGA.

Unit cell a=8.257 b=8.956 c=8.295 alpha=117.48 beta=119.85 gamma=90.00
Sites, in units of the cell vectors:
La (0.246, 0.704, 0.961)
La (0.245, 0.703, 0.489)
La (0.264, 0.296, 0.528)
La (0.714, 0.704, 0.961)
La (0.286, 0.296, 0.039)
La (0.736, 0.704, 0.472)
La (0.755, 0.297, 0.511)
La (0.754, 0.296, 0.039)
Co (0.500, 0.500, 0.000)
Co (0.500, 0.500, 0.500)
Co (0.000, 0.500, 0.500)
Au (0.000, 0.500, 0.000)
Cl (0.500, 0.000, 0.000)
Cl (0.500, 0.000, 0.500)
Cl (0.000, 0.000, 0.000)
Cl (0.000, 0.000, 0.500)

Spin magnetization   0.00 Bohr magnetons per cell
Total energy   -5.44 eV per atom
ρ   6.0 g/cm3
Symmetry   C2/m (12)

---

Here is crystalline La2CoAuCl at its relaxed geometry from the Alexandria database. Energies are from PBE-GGA.

Unit cell a=5.775 b=4.734 c=5.775 alpha=90.00 beta=90.00 gamma=90.00
Each line ends with the local moment (μB).
Sites, in units of the cell vectors:
Co (0.000, 0.500, 0.000)  1.65
Cl (0.500, 0.500, 0.500)  0.00
Au (0.000, 0.000, 0.000)  0.03
La (0.000, 0.000, 0.500)  -0.03
La (0.500, 0.000, 0.000)  -0.05

Spin magnetization   1.45 Bohr magnetons per cell
Total energy   -4.56 eV per atom
ρ   6.0 g/cm3
Symmetry   P4/mmm (123)